Computed, not measured: a relaxed structure of ZnAs3Pd6 at the PBE-GGA level of DFT.

Results
For the density of states at the Fermi level, the calculation gives 8.889 states/eV per cell. The formation energy comes out at -3.581 eV per formula unit. The uncorrected energy comes out at -99.9 eV/cell.

```
ZnAs3Pd6
1.0
-1.340 3.291 -1.452
-8.119 -3.698 -0.889
-0.705 3.726 9.092
As Pd Zn
6 12 2
Cartesian
-5.399 -0.783 0.671
-2.764 1.730 -1.140
-4.765 4.101 6.079
-7.401 1.589 7.891
-3.003 1.355 3.304
-7.161 1.963 3.447
-5.454 1.687 6.318
-4.710 1.631 0.432
-4.908 3.014 3.749
-5.257 0.304 3.002
-7.420 0.838 1.136
-2.052 0.788 1.141
-1.374 3.973 7.733
-8.018 -0.429 3.888
-8.790 -0.655 -0.982
-8.113 2.531 5.610
-2.147 3.747 2.863
-2.744 2.480 5.615
-8.262 -1.592 1.479
-1.902 4.910 5.272
```

---

Computed, not measured: a relaxed structure of Zn3AsPd at the PBE-GGA level of DFT.

Results
For the density of states at the Fermi level, the calculation gives 2.807 states/eV per cell. The formation energy comes out at 2.772 eV per formula unit. The uncorrected energy comes out at -10.9 eV/cell. Its energy above the most stable polymorph in this dataset is 0.245 eV per atom.

```
Zn3AsPd
1.0
4.765 0.000 0.000
0.000 4.765 0.000
0.000 0.000 4.765
Zn Pd As
3 1 1
Cartesian
2.382 0.000 0.000
0.000 0.000 2.382
0.000 2.382 0.000
2.382 2.382 2.382
0.000 0.000 0.000
```

---

Computed, not measured: a relaxed structure of Zn2AsPd8 at the PBE-GGA level of DFT.

Results
For the density of states at the Fermi level, the calculation gives 4.464 states/eV per cell. The formation energy comes out at -3.644 eV per formula unit. The uncorrected energy comes out at -52.4 eV/cell. Its energy above the most stable polymorph in this dataset is 0.007 eV per atom.

```
Zn2AsPd8
1.0
4.202 0.000 0.000
0.000 5.563 0.050
-2.101 -2.322 7.320
As Pd Zn
1 8 2
Cartesian
2.101 0.000 0.000
2.101 -0.897 7.047
2.101 2.577 4.277
2.101 1.956 1.535
2.101 4.641 2.293
0.000 -1.400 5.077
0.000 4.138 0.323
0.000 1.285 5.835
0.000 0.664 3.093
2.101 0.068 4.655
0.000 3.173 2.714
```

---

Computed, not measured: a relaxed structure of ZnAsPd at the PBE-GGA level of DFT.

Results
For the density of states at the Fermi level, the calculation gives 1.672 states/eV per cell. The formation energy comes out at -0.510 eV per formula unit. The uncorrected energy comes out at -11.6 eV/cell.

```
ZnAsPd
1.0
2.945 0.000 0.000
0.000 2.945 0.000
-1.473 -1.473 5.668
As Zn Pd
1 1 1
Cartesian
0.000 0.000 3.103
1.473 1.473 5.243
1.473 1.473 1.288
```

---

Computed, not measured: a relaxed structure of ZnAs2Pd2 at the PBE-GGA level of DFT.

Results
For the density of states at the Fermi level, the calculation gives 5.014 states/eV per cell. The formation energy comes out at -0.691 eV per formula unit. The uncorrected energy comes out at -43.3 eV/cell. Its energy above the most stable polymorph in this dataset is 0.000 eV per atom.

```
ZnAs2Pd2
1.0
-4.259 -0.415 5.366
5.079 -2.572 3.833
0.955 3.407 1.021
As Zn Pd
4 2 4
Cartesian
-0.228 1.167 2.960
-1.367 0.458 6.390
3.142 -0.038 3.830
2.002 -0.747 7.260
0.000 0.000 0.000
0.410 -1.494 4.599
2.827 -2.335 5.146
-0.329 -2.022 7.054
1.149 -0.965 2.145
-2.007 -0.652 4.052
```

---

Computed, not measured: a relaxed structure of Zn2AsPd at the PBE-GGA level of DFT.

Results
For the density of states at the Fermi level, the calculation gives 1.673 states/eV per cell. The formation energy comes out at -0.692 eV per formula unit. The uncorrected energy comes out at -13.1 eV/cell.

```
Zn2AsPd
1.0
3.805 0.000 0.000
0.000 4.066 0.000
0.000 0.000 4.066
Zn Pd As
2 1 1
Cartesian
0.000 0.000 2.033
0.000 2.033 0.000
1.902 2.033 2.033
1.902 0.000 0.000
```

---

Computed, not measured: a relaxed structure of ZnAsPd2 at the PBE-GGA level of DFT.

Results
For the density of states at the Fermi level, the calculation gives 2.279 states/eV per cell. The formation energy comes out at -0.960 eV per formula unit. The uncorrected energy comes out at -17.3 eV/cell. Its energy above the most stable polymorph in this dataset is 0.147 eV per atom.

```
ZnAsPd2
1.0
4.186 0.000 0.000
2.093 3.625 0.000
2.093 1.208 4.540
Pd As Zn
2 1 1
Cartesian
2.093 1.208 0.791
2.093 1.208 3.627
6.279 3.625 4.479
4.186 2.417 2.454
```

---

Computed, not measured: a relaxed structure of Zn2AsPd8 at the PBE-GGA level of DFT.

Results
For the density of states at the Fermi level, the calculation gives 4.976 states/eV per cell. The formation energy comes out at -3.725 eV per formula unit. The uncorrected energy comes out at -52.5 eV/cell. Its energy above the most stable polymorph in this dataset is 0.000 eV per atom.

```
Zn2AsPd8
1.0
-2.182 2.370 -3.080
-3.383 -4.507 -1.072
-1.518 3.185 6.752
Zn Pd As
2 8 1
Cartesian
-3.280 -1.472 1.191
-3.804 2.520 1.409
-6.213 2.209 2.876
-5.521 0.279 0.901
-0.871 -1.161 -0.276
-2.270 2.592 3.603
-1.563 0.769 1.699
-3.886 0.439 3.091
-3.197 0.610 -0.491
-4.813 -1.543 -1.003
-1.091 1.185 -1.540
```

---

Computed, not measured: a relaxed structure of ZnAsPd3 at the PBE-GGA level of DFT.

Results
For the density of states at the Fermi level, the calculation gives 3.994 states/eV per cell. The formation energy comes out at -2.009 eV per formula unit. The uncorrected energy comes out at -94.0 eV/cell. Its energy above the most stable polymorph in this dataset is 0.000 eV per atom.

```
ZnAsPd3
1.0
4.832 0.000 0.000
0.000 8.434 -0.131
0.000 -2.807 7.949
Pd Zn As
12 4 4
Cartesian
2.414 3.620 5.029
3.625 3.503 0.448
4.830 4.821 6.698
3.135 0.737 5.402
2.419 2.008 2.789
4.114 6.358 1.362
1.697 4.890 2.417
3.624 6.316 4.358
0.002 0.806 1.120
1.209 -0.689 3.461
0.719 -0.731 6.457
1.208 2.124 7.370
4.152 4.000 3.058
1.736 7.248 0.721
0.681 1.627 4.760
3.097 -1.621 7.098
1.209 2.905 0.879
1.208 5.718 4.788
3.624 2.722 6.940
3.625 -0.091 3.031
```

---

Computed, not measured: a relaxed structure of Zn2As2Pd at the PBE-GGA level of DFT.

Results
For the density of states at the Fermi level, the calculation gives 3.530 states/eV per cell. The formation energy comes out at 0.103 eV per formula unit. The uncorrected energy comes out at -33.9 eV/cell.

```
Zn2As2Pd
1.0
-2.434 4.563 -4.516
4.467 -2.266 -4.697
-2.570 -2.565 -1.207
Zn As Pd
4 4 2
Cartesian
-1.773 1.823 -6.165
-1.526 0.033 -2.887
1.236 -2.090 -4.255
0.989 -0.301 -7.532
1.065 0.023 -2.318
0.968 2.274 -6.895
-0.873 2.671 -3.818
2.906 -0.373 -5.395
0.000 0.000 0.000
1.016 1.149 -4.606
```

---

Computed, not measured: a relaxed structure of ZnAsPd6 at the PBE-GGA level of DFT.

Results
For the density of states at the Fermi level, the calculation gives 4.701 states/eV per cell. The formation energy comes out at -1.280 eV per formula unit. The uncorrected energy comes out at -38.4 eV/cell.

```
ZnAsPd6
1.0
6.175 0.002 0.011
3.077 5.380 0.032
3.057 1.803 3.935
Pd As Zn
6 1 1
Cartesian
5.307 5.778 0.993
7.003 1.406 2.985
7.580 5.442 3.021
3.841 3.934 2.997
8.468 3.250 0.981
4.729 1.742 0.957
0.000 0.000 0.000
6.155 3.592 1.989
```

---

Computed, not measured: a relaxed structure of ZnAsPd2 at the PBE-GGA level of DFT.

Results
For the density of states at the Fermi level, the calculation gives 4.590 states/eV per cell. The formation energy comes out at -1.550 eV per formula unit. The uncorrected energy comes out at -71.4 eV/cell. Its energy above the most stable polymorph in this dataset is 0.000 eV per atom.

```
ZnAsPd2
1.0
-1.265 -2.274 -5.273
6.196 -1.635 -0.781
-1.256 -6.149 2.912
As Pd Zn
4 8 4
Cartesian
1.990 -4.967 -3.700
-1.300 -5.608 -1.781
1.685 -5.092 0.559
4.975 -4.451 -1.361
0.240 -6.969 -0.306
0.786 -4.036 -1.675
3.434 -3.090 -2.835
-1.197 -7.894 -2.841
4.872 -2.165 -0.301
4.223 -5.071 1.082
-0.548 -4.987 -4.223
2.889 -6.023 -1.466
4.200 -7.608 0.169
-0.525 -2.451 -3.310
2.212 -1.869 -0.939
1.463 -8.190 -2.202
```